1.
BaZn2 | PBE | optimized geometry

Values from the calculation:
As for the space group: Cmcm. For the final energy, the calculation gives -1.57 eV per atom.

Unit cell a=8.4175 b=8.4175 c=4.8453 alpha=90.00 beta=90.00 gamma=152.99
Closest atoms and distances in Å follow each position.
Positions (direct):
Ba1 0.0847 0.9153 0.7500  8 Zn 3.30-3.63, 2 Ba 3.68
Ba2 0.9153 0.0847 0.2500  8 Zn 3.30-3.63, 2 Ba 3.68
Zn1 0.2501 0.7499 0.2500  2 Zn 2.55
Zn2 0.3492 0.6508 0.7500  2 Zn 2.55
Zn3 0.6508 0.3492 0.2500  2 Zn 2.55
Zn4 0.7499 0.2501 0.7500  2 Zn 2.55

***

2.
LiBeAg | PBE | optimized geometry

Values from the calculation:
As for the space group: F-43m. For the final energy, the calculation gives -2.45 eV per atom.

Unit cell a=4.0743 b=4.0743 c=4.0743 alpha=60.00 beta=60.00 gamma=60.00
Closest atoms and distances in Å follow each position.
Positions (direct):
Li1 0.0000 0.0000 0.0000  4 Ag 2.50
Be1 0.5000 0.5000 0.5000  4 Ag 2.50
Ag1 0.7500 0.7500 0.7500  4 Li 2.50, 4 Be 2.50

***

3.
CoB | PBE | optimized geometry

Values from the calculation:
The calculation puts the total magnetization at 0.006 μB per atom. As for the space group: Pm-3m. For the final energy, the calculation gives -7.02 eV per atom.

Unit cell a=2.4807 b=2.4807 c=2.4807 alpha=90.00 beta=90.00 gamma=90.00
Closest atoms and distances in Å follow each position.
Positions (direct):
Co1 0.0000 0.0000 0.0000  8 B 2.15
B1 0.5000 0.5000 0.5000  8 Co 2.15

***

4.
SmCdGa | PBE | optimized geometry

Values from the calculation:
The calculation puts the total magnetization at 0.000 μB per atom. As for the space group: F-43m. For the final energy, the calculation gives -3.31 eV per atom. The energy above the most stable polymorph in this dataset is 0 meV/atom.

Unit cell a=4.7665 b=4.7665 c=4.7665 alpha=60.00 beta=60.00 gamma=60.00
Closest atoms and distances in Å follow each position.
Positions (direct):
Sm1 0.0000 0.0000 0.0000  4 Ga 2.92
Cd1 0.5000 0.5000 0.5000  4 Ga 2.92
Ga1 0.7500 0.7500 0.7500  4 Cd 2.92, 4 Sm 2.92

***

5.
Er2Sn2Pt3C | PBE | optimized geometry

Values from the calculation:
The calculation puts the total magnetization at 0.000 μB per atom. As for the space group: P3m1. For the final energy, the calculation gives -6.08 eV per atom.

Unit cell a=4.3440 b=4.3440 c=9.9772 alpha=90.00 beta=90.00 gamma=120.00
Closest atoms and distances in Å follow each position.
Positions (direct):
Er1 0.0000 0.0000 0.0000  6 Pt 2.88-2.93
Er2 0.3333 0.6667 0.4545  3 C 2.51
Sn1 0.6667 0.3333 0.2492  3 Pt 2.73
Sn2 0.6667 0.3333 0.7474  6 Pt 2.71-2.72
Pt1 0.0000 0.0000 0.6424  1 C 1.97
Pt2 0.3333 0.6667 0.1414  3 Sn 2.73, 3 Er 2.88, 1 Pt 2.92
Pt3 0.3333 0.6667 0.8491  3 Sn 2.71, 1 Pt 2.92, 3 Er 2.93
C1 0.0000 0.0000 0.4453  1 Pt 1.97

***

6.
LaGaNiPd | PBE | optimized geometry

Values from the calculation:
The calculation puts the total magnetization at 0.000 μB per atom. As for the space group: P6_3mc. For the final energy, the calculation gives -5.34 eV per atom. The energy above the most stable polymorph in this dataset is 7 meV/atom.

Unit cell a=4.3415 b=4.3415 c=9.6438 alpha=90.00 beta=90.00 gamma=120.00
Closest atoms and distances in Å follow each position.
Positions (direct):
La1 0.3333 0.6667 0.0000  4 Ni 2.97-3.12, 4 Pd 3.01-3.09
La2 0.6667 0.3333 0.5000  4 Ni 2.97-3.12, 4 Pd 3.01-3.09
Ga1 0.0000 0.0000 0.2367  3 Ni 2.54, 3 Pd 2.61
Ga2 0.0000 0.0000 0.7367  3 Ni 2.54, 3 Pd 2.61
Ni1 0.3333 0.6667 0.6924  3 Ga 2.54, 3 Pd 2.76
Ni2 0.6667 0.3333 0.1924  3 Ga 2.54, 3 Pd 2.76
Pd1 0.3333 0.6667 0.3122  3 Ga 2.61, 3 Ni 2.76
Pd2 0.6667 0.3333 0.8122  3 Ga 2.61, 3 Ni 2.76

***

7.
Cu15As | PBE | optimized geometry

Values from the calculation:
As for the space group: P2/c. For the final energy, the calculation gives -3.73 eV per atom. The energy above the most stable polymorph in this dataset is 10 meV/atom.

Unit cell a=4.4072 b=33.8431 c=4.4045 alpha=90.00 beta=109.73 gamma=90.00
Closest atoms and distances in Å follow each position.
Positions (direct):
Cu1 0.0000 0.0186 0.2500  12 Cu 2.54-2.56
Cu2 0.0000 0.0570 0.7500  12 Cu 2.54-2.56
Cu3 0.0000 0.0943 0.2500  12 Cu 2.54-2.58
Cu4 0.0000 0.1323 0.7500  12 Cu 2.54-2.56
Cu5 0.0000 0.1704 0.2500  12 Cu 2.54-2.63
Cu6 0.0000 0.2079 0.7500  12 Cu 2.54-2.59
Cu7 0.0000 0.2480 0.2500  9 Cu 2.52-2.63, 2 As 2.55
Cu8 0.0000 0.2840 0.7500  5 Cu 2.52-2.57, 2 As 2.54
Cu9 0.0000 0.7160 0.2500  5 Cu 2.52-2.57, 2 As 2.54
Cu10 0.0000 0.7520 0.7500  9 Cu 2.52-2.63, 2 As 2.55
Cu11 0.0000 0.7921 0.2500  12 Cu 2.54-2.59
Cu12 0.0000 0.8296 0.7500  12 Cu 2.54-2.63
Cu13 0.0000 0.8677 0.2500  12 Cu 2.54-2.56
Cu14 0.0000 0.9057 0.7500  12 Cu 2.54-2.58
Cu15 0.0000 0.9430 0.2500  12 Cu 2.54-2.56
Cu16 0.0000 0.9814 0.7500  12 Cu 2.54-2.56
Cu17 0.5000 0.0189 0.7500  12 Cu 2.54-2.56
Cu18 0.5000 0.0566 0.2500  12 Cu 2.54-2.56
Cu19 0.5000 0.0943 0.7500  12 Cu 2.54-2.57
Cu20 0.5000 0.1324 0.2500  12 Cu 2.54-2.59
Cu21 0.5000 0.1703 0.7500  12 Cu 2.54-2.62
Cu22 0.5000 0.2088 0.2500  11 Cu 2.54-2.59, 1 As 2.61
Cu23 0.5000 0.2478 0.7500  9 Cu 2.52-2.62, 2 As 2.55
Cu24 0.5000 0.7522 0.2500  9 Cu 2.52-2.62, 2 As 2.55
Cu25 0.5000 0.7912 0.7500  11 Cu 2.54-2.59, 1 As 2.61
Cu26 0.5000 0.8297 0.2500  12 Cu 2.54-2.62
Cu27 0.5000 0.8676 0.7500  12 Cu 2.54-2.59
Cu28 0.5000 0.9057 0.2500  12 Cu 2.54-2.57
Cu29 0.5000 0.9434 0.7500  12 Cu 2.54-2.56
Cu30 0.5000 0.9811 0.2500  12 Cu 2.54-2.56
As1 0.5000 0.2860 0.2500  7 Cu 2.54-2.61
As2 0.5000 0.7140 0.7500  7 Cu 2.54-2.61

***

8.
NaZrPdS3 | PBE | optimized geometry

Values from the calculation:
The calculation puts the total magnetization at 0.001 μB per atom. As for the space group: P2_1/m. For the final energy, the calculation gives -5.71 eV per atom.

Unit cell a=7.4812 b=3.6975 c=9.2912 alpha=90.00 beta=106.12 gamma=90.00
Closest atoms and distances in Å follow each position.
Positions (direct):
Na1 0.2399 0.2500 0.2778  6 S 2.88-3.07
Na2 0.7601 0.7500 0.7222  6 S 2.88-3.07
Zr1 0.3153 0.7500 0.8335  6 S 2.57-2.64
Zr2 0.6847 0.2500 0.1665  6 S 2.57-2.64
Pd1 0.1201 0.2500 0.5863  3 S 2.36-2.49
Pd2 0.8799 0.7500 0.4137  3 S 2.36-2.49
S1 0.0811 0.2500 0.8434  1 Pd 2.49, 2 Zr 2.57
S2 0.2988 0.7500 0.5512  2 Pd 2.36, 1 Zr 2.59
S3 0.4244 0.7500 0.1297  3 Zr 2.64, 2 Na 2.88
S4 0.5756 0.2500 0.8703  3 Zr 2.64, 2 Na 2.88
S5 0.7012 0.2500 0.4488  2 Pd 2.36, 1 Zr 2.59
S6 0.9189 0.7500 0.1566  1 Pd 2.49, 2 Zr 2.57

***

9.
NbAuNO | PBE | optimized geometry

Values from the calculation:
The calculation puts the total magnetization at 0.109 μB per atom. As for the space group: P4/nmm. For the final energy, the calculation gives -6.82 eV per atom. The energy above the most stable polymorph in this dataset is 658 meV/atom.

Unit cell a=4.0257 b=4.0257 c=6.3757 alpha=90.00 beta=90.00 gamma=90.00
Closest atoms and distances in Å follow each position.
Positions (direct):
Nb1 0.2500 0.7500 0.0000  4 N 2.10
Nb2 0.7500 0.2500 0.0000  4 N 2.10
Au1 0.2500 0.2500 0.3351  4 O 2.27
Au2 0.7500 0.7500 0.6649  4 O 2.27
N1 0.2500 0.2500 0.9060  4 Nb 2.10
N2 0.7500 0.7500 0.0940  4 Nb 2.10
O1 0.2500 0.7500 0.5000  4 Au 2.27
O2 0.7500 0.2500 0.5000  4 Au 2.27

***

10.
Cs2MoSeS2 | PBE | optimized geometry

Values from the calculation:
The calculation puts the total magnetization at 0.000 μB per atom. As for the space group: C2/m. For the final energy, the calculation gives -5.01 eV per atom.

Unit cell a=8.0593 b=8.0593 c=10.3617 alpha=121.46 beta=121.46 gamma=54.18
Closest atoms and distances in Å follow each position.
Positions (direct):
Cs1 0.0774 0.0774 0.3588  4 S 3.56-3.71, 3 Se 3.62-3.69
Cs2 0.2967 0.2967 0.1832  5 S 3.64-3.97, 2 Se 3.68-3.76
Cs3 0.7033 0.7033 0.8168  5 S 3.64-3.97, 2 Se 3.68-3.76
Cs4 0.9226 0.9226 0.6412  4 S 3.56-3.71, 3 Se 3.62-3.69
Mo1 0.3953 0.3953 0.8419  3 S 2.26-2.29, 1 Se 2.40
Mo2 0.6047 0.6047 0.1581  3 S 2.26-2.29, 1 Se 2.40
Se1 0.3890 0.3890 0.6056  1 Mo 2.40
Se2 0.6110 0.6110 0.3944  1 Mo 2.40
S1 0.2156 0.2156 0.7785  1 Mo 2.26
S2 0.2561 0.7439 0.0000  2 Mo 2.29
S3 0.7439 0.2561 0.0000  2 Mo 2.29
S4 0.7844 0.7844 0.2215  1 Mo 2.26

***

11.
NaDyAsO | PBE | optimized geometry

Values from the calculation:
The calculation puts the total magnetization at 0.001 μB per atom. As for the space group: Pmc2_1. For the final energy, the calculation gives -5.49 eV per atom. The energy above the most stable polymorph in this dataset is 93 meV/atom.

Unit cell a=3.5529 b=7.9019 c=6.1923 alpha=90.00 beta=90.00 gamma=90.00
Closest atoms and distances in Å follow each position.
Positions (direct):
Na1 0.0000 0.0031 0.0000  2 O 2.23
Na2 0.0000 0.9969 0.5000  2 O 2.23
Dy1 0.5000 0.3432 0.2567  2 O 2.09
Dy2 0.5000 0.6568 0.7567  2 O 2.09
As1 0.5000 0.2906 0.7544  3 Dy 2.89-3.14
As2 0.5000 0.7094 0.2544  3 Dy 2.89-3.14
O1 0.0000 0.2031 0.2540  2 Dy 2.09, 2 Na 2.23
O2 0.0000 0.7969 0.7540  2 Dy 2.09, 2 Na 2.23

***

12.
Sn15Os3O14 | PBE | optimized geometry

Values from the calculation:
The calculation puts the total magnetization at 0.000 μB per atom. As for the space group: Cm. For the final energy, the calculation gives -6.24 eV per atom.

Unit cell a=7.2132 b=7.2132 c=13.0353 alpha=105.97 beta=105.97 gamma=59.56
Closest atoms and distances in Å follow each position.
Positions (direct):
Sn1 0.0000 0.0000 0.0000  3 O 2.05-2.10
Sn2 0.0089 0.5322 0.0227  2 O 2.14-2.34
Sn3 0.1017 0.5840 0.7650  4 O 2.08-2.33
Sn4 0.1892 0.6751 0.5370  4 O 2.09-2.28
Sn5 0.1916 0.1916 0.5323  4 O 2.10-2.27
Sn6 0.2373 0.2373 0.2405  3 O 2.12-2.18
Sn7 0.2492 0.7696 0.2737  2 O 2.18-2.37
Sn8 0.5292 0.5292 0.0319  4 O 2.14-2.31
Sn9 0.5322 0.0089 0.0227  2 O 2.14-2.34
Sn10 0.5840 0.1017 0.7650  4 O 2.08-2.33
Sn11 0.5837 0.5837 0.7708  4 O 2.09-2.33
Sn12 0.6636 0.6636 0.4909  3 O 2.10-2.11
Sn13 0.6751 0.1892 0.5370  4 O 2.09-2.28
Sn14 0.7696 0.2492 0.2737  2 O 2.18-2.37
Sn15 0.7767 0.7767 0.2896  3 O 2.08-2.09
Os1 0.3906 0.3906 0.1467  6 Sn 2.58-2.63
Os2 0.7946 0.7946 0.8803  6 Sn 2.55-2.61
Os3 0.9813 0.9813 0.4174  6 Sn 2.58-2.65
O1 0.0547 0.0547 0.1695  2 Sn 2.10-2.18
O2 0.2524 0.7060 0.7055  3 Sn 2.09
O3 0.2532 0.2532 0.7017  3 Sn 2.08-2.10
O4 0.3261 0.8612 0.9960  3 Sn 2.05-2.19
O5 0.3339 0.3339 0.4770  3 Sn 2.12-2.13
O6 0.4432 0.9358 0.2969  3 Sn 2.09-2.18
O7 0.4537 0.4537 0.8597  4 Sn 2.14-2.31
O8 0.5556 0.5556 0.5851  4 Sn 2.10-2.33
O9 0.5556 0.9841 0.5787  4 Sn 2.11-2.33
O10 0.7060 0.2524 0.7055  3 Sn 2.09
O11 0.7210 0.7210 0.1215  2 Sn 2.08-2.31
O12 0.8612 0.3261 0.9960  3 Sn 2.05-2.19
O13 0.9358 0.4432 0.2969  3 Sn 2.09-2.18
O14 0.9841 0.5556 0.5787  4 Sn 2.11-2.33

***

Q: What is the formula in the seventh record?
A: Cu15As